No. 1
Computed, not measured: crystalline YRuCl3 at its relaxed geometry at the GGA-PBE level of DFT.

Summary:
DFT total energy ... -4.649 eV per atom
Crystal system ... cubic
Space-group type ... Pm-3m
Total magnetization ... 3.6 μB per formula unit

Cell and atoms, written as extended XYZ:
```
5
Lattice="5.2905 0.0000 0.0000 0.0000 5.2905 0.0000 0.0000 0.0000 5.2905" Properties=species:S:1:pos:R:3 pbc="T T T"
Y 0.0000 0.0000 0.0000
Ru 2.6453 2.6453 2.6453
Cl 0.0000 0.0000 2.6453
Cl 0.0000 2.6453 0.0000
Cl 2.6453 0.0000 0.0000
```



No. 2
Computed, not measured: crystalline PmZrPb at its relaxed geometry at the GGA-PBE level of DFT.

Summary:
DFT total energy ... -5.678 eV per atom
Crystal system ... trigonal
ΔE_f ... -2 kJ/mol of formula units
Space-group type ... P3m1
Total magnetization ... 1.1 μB per formula unit

Cell and atoms, written as extended XYZ:
```
3
Lattice="5.2890 0.0000 0.0000 -2.6445 4.5804 0.0000 0.0000 0.0000 3.4864" Properties=species:S:1:pos:R:3 pbc="T T T"
Pm 0.0000 0.0000 0.0000
Zr 2.6445 1.5268 1.7401
Pb 0.0000 3.0536 1.7541
```



No. 3
Computed, not measured: crystalline Lu3Nb at its relaxed geometry at the GGA-PBE level of DFT.

Summary:
DFT total energy ... -5.736 eV per atom
Crystal system ... orthorhombic
ΔE_f ... 66 kJ/mol of formula units
Space-group type ... Pmm2
Total magnetization ... 0.0 μB per formula unit

Cell and atoms, written as extended XYZ:
```
4
Lattice="3.3222 0.0000 0.0000 0.0000 5.2253 0.0000 0.0000 0.0000 5.8797" Properties=species:S:1:pos:R:3 pbc="T T T"
Lu 0.0000 0.0000 0.0000
Lu 0.0000 2.6126 1.9316
Lu 1.6611 2.6126 4.7146
Nb 1.6611 0.0000 2.8995
```



No. 4
Computed, not measured: crystalline La2YOs at its relaxed geometry at the GGA-PBE level of DFT.

Summary:
DFT total energy ... -6.759 eV per atom
Crystal system ... tetragonal
ΔE_f ... 50 kJ/mol of formula units
Space-group type ... I-42d
Total magnetization ... 0.0 μB per formula unit

Cell and atoms, written as extended XYZ:
```
8
Lattice="-4.5393 4.5393 3.0570 4.5393 -4.5393 3.0570 4.5393 4.5393 -3.0570" Properties=species:S:1:pos:R:3 pbc="T T T"
La 2.2696 1.4327 -0.7642
La 3.1066 -2.2696 3.8212
La 2.2696 3.1066 2.2927
La 1.4327 6.8089 0.7642
Y 4.5393 0.0000 1.5285
Y 0.0000 0.0000 3.0570
Os 0.0000 0.0000 0.0000
Os 0.0000 4.5393 1.5285
```



No. 5
Computed, not measured: crystalline AlRuPb2 at its relaxed geometry at the GGA-PBE level of DFT.

Summary:
DFT total energy ... -4.947 eV per atom
Crystal system ... orthorhombic
ΔE_f ... 63 kJ/mol of formula units
Space-group type ... Amm2
Total magnetization ... 0.0 μB per formula unit

Cell and atoms, written as extended XYZ:
```
4
Lattice="4.2421 0.0000 0.0000 0.0000 2.0602 5.0156 0.0000 -2.0602 5.0156" Properties=species:S:1:pos:R:3 pbc="T T T"
Al 0.0000 0.0000 0.0000
Ru 2.1211 0.0000 8.7703
Pb 0.0000 0.0000 2.8595
Pb 2.1211 0.0000 5.8445
```



No. 6
Computed, not measured: crystalline RbSr3Zr at its relaxed geometry at the GGA-PBE level of DFT.

Summary:
DFT total energy ... -1.540 eV per atom
Crystal system ... cubic
ΔE_f ... 662 kJ/mol of formula units
Space-group type ... Pm-3m
Total magnetization ... 1.4 μB per formula unit

Cell and atoms, written as extended XYZ:
```
5
Lattice="6.1961 0.0000 0.0000 0.0000 6.1961 0.0000 0.0000 0.0000 6.1961" Properties=species:S:1:pos:R:3 pbc="T T T"
Rb 0.0000 0.0000 0.0000
Sr 0.0000 0.0000 3.0981
Sr 0.0000 3.0981 0.0000
Sr 3.0981 0.0000 0.0000
Zr 3.0981 3.0981 3.0981
```



No. 7
Computed, not measured: crystalline Ac4TlPtN at its relaxed geometry at the GGA-PBE level of DFT.

Summary:
DFT total energy ... -5.491 eV per atom
Crystal system ... monoclinic
Space-group type ... P2_1/m
Total magnetization ... 0.0 μB per formula unit

Cell and atoms, written as extended XYZ:
```
14
Lattice="7.2184 0.0000 0.0000 0.0000 7.5002 0.0000 -2.9304 0.0000 8.8394" Properties=species:S:1:pos:R:3 pbc="T T T"
Ac -0.6148 0.0424 1.9720
Ac -0.6148 3.7077 1.9720
Ac 1.1624 5.6251 5.6910
Ac 2.9551 5.6251 0.6285
Ac 1.3329 1.8750 8.2108
Ac 3.1256 1.8750 3.1483
Ac 4.9028 3.7925 6.8674
Ac 4.9028 7.4578 6.8674
Tl 0.0806 1.8750 4.9632
Tl 4.2074 5.6251 3.8761
Pt 1.4456 1.8750 0.4394
Pt 2.8424 5.6251 8.3999
N -0.7502 5.6251 7.1718
N 5.0382 1.8750 1.6676
```



No. 8
Computed, not measured: crystalline TbGdIrRh at its relaxed geometry at the GGA-PBE level of DFT.

Summary:
DFT total energy ... -9.544 eV per atom
Crystal system ... cubic
ΔE_f ... -314 kJ/mol of formula units
Space-group type ... F-43m
Total magnetization ... 7.0 μB per formula unit

Cell and atoms, written as extended XYZ:
```
4
Lattice="0.0000 3.4502 3.4502 3.4502 0.0000 3.4502 3.4502 3.4502 0.0000" Properties=species:S:1:pos:R:3 pbc="T T T"
Tb 0.0000 0.0000 0.0000
Gd 3.4502 3.4502 3.4502
Ir 5.1753 5.1753 5.1753
Rh 1.7251 1.7251 1.7251
```



No. 9
Computed, not measured: crystalline TmPaCu2 at its relaxed geometry at the GGA-PBE level of DFT.

Summary:
DFT total energy ... -5.505 eV per atom
Crystal system ... cubic
ΔE_f ... 14 kJ/mol of formula units
Space-group type ... Fm-3m
Total magnetization ... 0.0 μB per formula unit

Cell and atoms, written as extended XYZ:
```
4
Lattice="0.0000 3.4305 3.4305 3.4305 0.0000 3.4305 3.4305 3.4305 0.0000" Properties=species:S:1:pos:R:3 pbc="T T T"
Tm 0.0000 0.0000 0.0000
Pa 3.4305 3.4305 3.4305
Cu 1.7153 1.7153 1.7153
Cu 5.1458 5.1458 5.1458
```



No. 10
Computed, not measured: crystalline LiMg4Tl2 at its relaxed geometry at the GGA-PBE level of DFT.

Summary:
DFT total energy ... -1.723 eV per atom
Crystal system ... tetragonal
ΔE_f ... 93 kJ/mol of formula units
Space-group type ... I4/mmm
Total magnetization ... 0.0 μB per formula unit

Cell and atoms, written as extended XYZ:
```
7
Lattice="-2.6923 2.6923 6.2265 2.6923 -2.6923 6.2265 2.6923 2.6923 -6.2265" Properties=species:S:1:pos:R:3 pbc="T T T"
Li 0.0000 0.0000 0.0000
Mg 2.6923 0.0000 0.0000
Mg 2.6923 0.0000 3.1132
Mg 0.0000 2.6923 0.0000
Mg 0.0000 2.6923 3.1132
Tl 0.0000 0.0000 4.5481
Tl 0.0000 0.0000 7.9048
```



No. 11
Computed, not measured: crystalline Al2AuCl at its relaxed geometry at the GGA-PBE level of DFT.

Summary:
DFT total energy ... -3.323 eV per atom
Crystal system ... orthorhombic
Space-group type ... Imm2
Total magnetization ... 0.0 μB per formula unit

Cell and atoms, written as extended XYZ:
```
4
Lattice="-1.4486 2.2730 5.8438 1.4486 -2.2730 5.8438 1.4486 2.2730 -5.8438" Properties=species:S:1:pos:R:3 pbc="T T T"
Al 0.0000 0.0000 0.0000
Al 0.0000 2.2730 3.3829
Au 1.4486 0.0000 2.3772
Cl 0.0000 0.0000 5.8078
```



No. 12
Computed, not measured: crystalline Na4PrY3Te8 at its relaxed geometry at the GGA-PBE level of DFT.

Summary:
DFT total energy ... -4.740 eV per atom
Crystal system ... trigonal
Space-group type ... R-3m
Total magnetization ... 0.0 μB per formula unit

Cell and atoms, written as extended XYZ:
```
16
Lattice="4.4682 2.5797 7.5721 -4.4682 2.5797 7.5721 0.0000 -5.1595 7.5721" Properties=species:S:1:pos:R:3 pbc="T T T"
Na 0.0000 0.0000 0.0000
Na -2.2341 -1.2899 7.5721
Na -2.2341 1.2899 15.1442
Na 0.0000 2.5797 7.5721
Pr 0.0000 0.0000 11.3581
Y -4.4682 0.0000 11.3581
Y -2.2341 1.2899 3.7860
Y 2.2341 1.2899 3.7860
Te -2.2863 -1.3200 13.1409
Te 0.0000 0.0000 5.5369
Te 0.0000 -2.6400 9.5753
Te -2.2863 1.3200 9.5753
Te 2.2863 -1.3200 13.1410
Te 0.0000 2.6400 13.1410
Te 0.0000 0.0000 17.1794
Te 2.2863 1.3200 9.5753
```



Number 2 is which compound?
PmZrPb



Please write out number 10 again, unchanged.
Computed, not measured: crystalline LiMg4Tl2 at its relaxed geometry at the GGA-PBE level of DFT.

Summary:
DFT total energy ... -1.723 eV per atom
Crystal system ... tetragonal
ΔE_f ... 93 kJ/mol of formula units
Space-group type ... I4/mmm
Total magnetization ... 0.0 μB per formula unit

Cell and atoms, written as extended XYZ:
```
7
Lattice="-2.6923 2.6923 6.2265 2.6923 -2.6923 6.2265 2.6923 2.6923 -6.2265" Properties=species:S:1:pos:R:3 pbc="T T T"
Li 0.0000 0.0000 0.0000
Mg 2.6923 0.0000 0.0000
Mg 2.6923 0.0000 3.1132
Mg 0.0000 2.6923 0.0000
Mg 0.0000 2.6923 3.1132
Tl 0.0000 0.0000 4.5481
Tl 0.0000 0.0000 7.9048
```